# Tl3SiRu

Crystalline Tl3SiRu at its relaxed geometry (PBE-GGA, Alexandria).

## Properties
The density of states at the Fermi level comes out at 3.8 states/eV per cell. The calculation puts the polymorph energy (0 for the lowest one) at 0 meV/atom. Its uncorrected formation energy is 0.7686 eV per atom.

Geometry as CIF:
```
data_Tl3SiRu
_cell_length_a 5.272
_cell_length_b 5.272
_cell_length_c 5.272
_cell_angle_alpha 90.00
_cell_angle_beta 90.00
_cell_angle_gamma 90.00
_symmetry_space_group_name_H-M 'P m -3 m'
_symmetry_Int_Tables_number 221
_symmetry_space_group_name_Hall '-P 4 2 3'
loop_
_atom_site_label
_atom_site_type_symbol
_atom_site_fract_x
_atom_site_fract_y
_atom_site_fract_z
Tl1 Tl 0.000 0.000 0.500
Si1 Si 0.500 0.500 0.500
Ru1 Ru 0.000 0.000 0.000
```